Record 1
A plane-wave DFT calculation with GGA-PBE was carried out for a relaxed Ta2CrBr crystal.

The energy above the most stable polymorph in this dataset is 0.2774 eV per atom.

The space group is Cm (No. 8) and the conventional cell measures 10.469, 3.125 and 4.502 Å, with angles of 90.00, 109.69 and 90.00 degrees. The asymmetric unit holds Ta at (0.000, 0.000, 0.000), Ta at (0.210, 0.000, 0.665), Cr at (0.201, 0.500, 0.114) and Br at (0.406, 0.000, 0.408).

Record 2
A plane-wave DFT calculation with GGA-PBE was carried out for a relaxed TaCr4Br crystal.

The space group is F-43m (No. 216) and the conventional cell measures 6.966, 6.966 and 6.966 Å, with angles of 90.00, 90.00 and 90.00 degrees. The asymmetric unit holds Ta at (0.000, 0.000, 0.000), Cr at (0.125, 0.125, 0.375) and Br at (0.250, 0.250, 0.750).

Record 3
A plane-wave DFT calculation with GGA-PBE was carried out for a relaxed Ta2CrBr crystal.

The energy above the most stable polymorph in this dataset is 0.5527 eV per atom.

The space group is I4/mmm (No. 139) and the conventional cell measures 4.311, 4.311 and 7.237 Å, with angles of 90.00, 90.00 and 90.00 degrees. The asymmetric unit holds Ta at (0.000, 0.500, 0.250), Cr at (0.000, 0.000, 0.000) and Br at (0.000, 0.000, 0.500).

Record 4
A plane-wave DFT calculation with GGA-PBE was carried out for a relaxed Ta2CrBr crystal.

The energy above the most stable polymorph in this dataset is 0.2495 eV per atom.

The space group is Pm (No. 6) and the conventional cell measures 3.020, 4.518 and 5.197 Å, with angles of 90.00, 106.46 and 90.00 degrees. The asymmetric unit holds Ta at (0.000, 0.000, 0.000), Ta at (0.257, 0.500, 0.745), Cr at (0.537, 0.000, 0.539) and Br at (0.524, 0.500, 0.283).

Record 5
A plane-wave DFT calculation with GGA-PBE was carried out for a relaxed TaCrBr crystal.

The energy above the most stable polymorph in this dataset is 0.0000 eV per atom.

The space group is P3m1 (No. 156) and the conventional cell measures 3.2301, 3.2301 and 6.1423 Å, with angles of 90.00, 90.00 and 120.00 degrees. The asymmetric unit holds Ta at (0.0000, 0.0000, 0.0000), Cr at (0.3333, 0.6667, 0.7341) and Br at (0.6667, 0.3333, 0.3597).

Record 6
A plane-wave DFT calculation with GGA-PBE was carried out for a relaxed Ta2CrBr crystal.

The energy above the most stable polymorph in this dataset is 0.0750 eV per atom.

The space group is R3m (No. 160, hexagonal axes) and the conventional cell measures 3.1447, 3.1447 and 26.9474 Å, with angles of 90.00, 90.00 and 120.00 degrees. The asymmetric unit holds Ta at (0.0000, 0.0000, 0.0000), Ta at (0.0000, 0.0000, 0.2470), Cr at (0.0000, 0.0000, 0.5101) and Br at (0.0000, 0.0000, 0.7406).

Record 7
A plane-wave DFT calculation with GGA-PBE was carried out for a relaxed CrTcBr3 crystal.

The energy above the most stable polymorph in this dataset is 0.0000 eV per atom.

The space group is Pm-3m (No. 221) and the conventional cell measures 5.199, 5.199 and 5.199 Å, with angles of 90.00, 90.00 and 90.00 degrees. The asymmetric unit holds Cr at (0.000, 0.000, 0.000), Tc at (0.500, 0.500, 0.500) and Br at (0.000, 0.500, 0.500).

Record 8
A plane-wave DFT calculation with GGA-PBE was carried out for a relaxed CrTc4Br crystal.

The space group is F-43m (No. 216) and the conventional cell measures 7.347, 7.347 and 7.347 Å, with angles of 90.00, 90.00 and 90.00 degrees. The asymmetric unit holds Cr at (0.000, 0.000, 0.000), Tc at (0.125, 0.125, 0.625) and Br at (0.250, 0.250, 0.250).

Q: Which ΔE_f (raw) values were calculated for the entries above? A: 13.40, 14.97, 19.75, 12.76, 8.55, 8.73, 10.63, 21.74, in kcal/mol of atoms.
Q: Which D(E_F) values were calculated for the entries above? A: 0.75, 0.97, 1.02, 0.79, 0.87, 0.95, 1.08, 1.20, in states/eV per atom.
Q: Which final energy values were calculated for the entries above? A: -8.17, -8.02, -7.89, -8.20, -7.35, -8.37, -4.54, -7.85, in eV per atom.